A PBEsol-optimized structure of TlWSeF2. Source: Alexandria, functional meta-GGA SCAN.

Computed properties:
energy relative to the elements, uncorrected	-929.8	meV/atom

Cell: 4.280 4.280 4.884 Å, 90.00 90.00 90.00°
Space group P4/mmm (No. 123)
Asymmetric unit:
Tl1 0.000 0.000 0.000 [1 per cell]
W1 0.500 0.500 0.500 [1 per cell]
Se1 0.500 0.500 0.000 [1 per cell]
F1 0.000 0.500 0.500 [2 per cell]